The following is a DFT calculation (PBE) of crystalline KPrMgTe3 at its relaxed geometry.

a b c (Å): 9.746 4.616 10.802
angles (deg): 90.00 106.23 90.00
Atoms (fractional coordinates):
1 Te 0.287 0.250 0.965
2 Te 0.713 0.750 0.035
3 Te 0.595 0.250 0.366
4 Te 0.405 0.750 0.634
5 Te 0.960 0.750 0.666
6 Te 0.040 0.250 0.334
7 Mg 0.417 0.750 0.893
8 Mg 0.583 0.250 0.107
9 K 0.290 0.750 0.265
10 K 0.710 0.250 0.735
11 Pr 0.825 0.750 0.364
12 Pr 0.175 0.250 0.636

Values from the calculation:
Uncorrected energy   -4.02 eV/atom
Size of the total moment   0.00 Bohr magnetons per cell

The following is a DFT calculation (PBE) of crystalline AcGaAu at its relaxed geometry.

a b c (Å): 4.923 4.923 4.923
angles (deg): 60.00 60.00 60.00
Atoms (fractional coordinates):
1 Ga 0.000 0.000 0.000
2 Au 0.750 0.750 0.750
3 Ac 0.250 0.250 0.250

Values from the calculation:
Uncorrected energy   -3.88 eV/atom
Size of the total moment   0.01 Bohr magnetons per cell